Compound: Ho5ThBi6
Source: OQMD
Functional: PBE-GGA
Structure: optimized geometry

a = 7.7578 Å, b = 7.7578 Å, c = 7.7635 Å
α = 99.61°, β = 99.61°, γ = 119.99°
Last column: nearest neighbours and their distance in Å.
Sites, in units of the cell vectors:
Th1 0.0000 0.0000 0.0000  6 Bi 3.21-3.22
Bi1 0.7446 0.7446 0.2510  5 Ho 3.13-3.16, 1 Th 3.21
Bi2 0.2554 0.2554 0.7490  5 Ho 3.13-3.16, 1 Th 3.21
Bi3 0.9150 0.5765 0.7456  5 Ho 3.14-3.17, 1 Th 3.22
Bi4 0.0850 0.4235 0.2544  5 Ho 3.14-3.17, 1 Th 3.22
Bi5 0.5765 0.9150 0.7456  5 Ho 3.14-3.17, 1 Th 3.22
Bi6 0.4235 0.0850 0.2544  5 Ho 3.14-3.17, 1 Th 3.22
Ho1 0.5000 0.5000 0.5000  6 Bi 3.13-3.16
Ho2 0.8359 0.1641 0.5000  6 Bi 3.14-3.17
Ho3 0.3325 0.6675 0.0000  6 Bi 3.16-3.17
Ho4 0.6675 0.3325 0.0000  6 Bi 3.16-3.17
Ho5 0.1641 0.8359 0.5000  6 Bi 3.14-3.17

Computed properties:
Space-group type = No. 12
Calculated volume = 381.5 Å³/cell
Total moment = 0.00 Bohr magnetons per cell
Raw total energy = -64.35 eV for the cell shown